Ac2GaNi6C: relaxed, PBE-GGA.

Cell and atoms, written as extended XYZ:
```
10
Lattice="-0.371 4.025 -3.824 -5.576 -2.850 -2.460 -4.441 3.350 -0.092" Properties=species:S:1:pos:R:3 pbc="T T T"
Ac -3.665 4.292 -3.224
Ac -6.723 0.233 -3.152
Ni -4.064 -0.838 -2.397
Ni -6.128 3.235 -1.958
Ni -6.359 2.868 -4.462
Ni -4.029 1.656 -1.914
Ni -4.259 1.289 -4.418
Ni -6.324 5.362 -3.979
C -2.973 0.587 -3.142
Ga 0.000 0.000 0.000
```

Space group = C2/m

Ac2Ga2Ni2C: relaxed, PBE-GGA.

Cell and atoms, written as extended XYZ:
```
7
Lattice="4.223 0.000 0.000 2.111 6.099 -0.451 2.111 1.755 5.519" Properties=species:S:1:pos:R:3 pbc="T T T"
Ni 4.223 6.163 4.502
Ni 4.223 1.691 0.566
Ac 4.223 5.450 1.339
Ac 4.223 2.404 3.729
C 0.000 0.000 0.000
Ga 6.334 5.034 4.131
Ga 2.111 2.820 0.937
```

Space group = C2/m

AcGaOs2C: relaxed, PBE-GGA.

Cell and atoms, written as extended XYZ:
```
10
Lattice="-3.444 -2.118 -1.442 5.067 -2.924 -1.419 -0.370 -3.723 6.352" Properties=species:S:1:pos:R:3 pbc="T T T"
Os 0.754 -4.798 5.246
Os 0.361 -5.357 0.618
Os 0.499 -3.967 -1.755
Os 0.892 -3.407 2.874
Ga -0.468 -5.674 3.064
Ga 1.721 -3.090 0.428
Ac -1.471 -2.398 0.648
Ac 2.724 -6.366 2.844
C 0.000 0.000 0.000
C -0.185 -1.861 3.176
```

Space group = Cmcm

Ac2Ga2Ru2C: relaxed, PBE-GGA.

Cell and atoms, written as extended XYZ:
```
7
Lattice="4.377 0.000 0.000 2.188 5.885 -0.576 2.188 1.569 5.759" Properties=species:S:1:pos:R:3 pbc="T T T"
Ac 4.377 2.171 3.954
Ac 4.377 5.283 1.229
Ru 4.377 1.860 0.324
Ru 4.377 5.594 4.859
C 0.000 0.000 0.000
Ga 2.188 2.681 1.278
Ga 6.565 4.773 3.905
```

Space group = C2/m

AcGd3C: relaxed, PBE-GGA.

Cell and atoms, written as extended XYZ:
```
5
Lattice="5.176 0.000 0.000 0.000 5.176 0.000 0.000 0.000 5.176" Properties=species:S:1:pos:R:3 pbc="T T T"
Ac 2.588 2.588 2.588
Gd 2.588 0.000 0.000
Gd 0.000 2.588 0.000
Gd 0.000 0.000 2.588
C 0.000 0.000 0.000
```

Space group = Pm-3m

AcGdC: relaxed, PBE-GGA.

Cell and atoms, written as extended XYZ:
```
3
Lattice="-0.630 1.140 3.522 1.693 -3.292 -0.634 6.057 3.100 0.079" Properties=species:S:1:pos:R:3 pbc="T T T"
Gd 4.152 -0.160 0.794
Ac 0.668 0.342 0.009
C 2.300 0.766 2.165
```

Space group = P3m1

AcGdC: relaxed, PBE-GGA.

Cell and atoms, written as extended XYZ:
```
3
Lattice="3.360 0.000 0.000 0.000 3.360 0.000 -1.680 -1.680 6.500" Properties=species:S:1:pos:R:3 pbc="T T T"
Ac 1.680 1.680 5.821
Gd 1.680 1.680 2.927
C 0.000 0.000 4.252
```

Space group = I4mm

Ac4GeC: relaxed, PBE-GGA.

Cell and atoms, written as extended XYZ:
```
12
Lattice="6.445 -0.765 0.000 -4.186 6.849 0.000 0.000 0.000 10.453" Properties=species:S:1:pos:R:3 pbc="T T T"
Ge 3.993 3.243 7.840
Ge -1.734 2.841 2.613
Ac -3.070 5.030 0.468
Ac 5.329 1.054 9.985
Ac 1.463 1.614 2.613
Ac 5.329 1.054 5.694
Ac 0.796 4.470 7.840
Ac -3.070 5.030 4.759
Ac 2.098 0.564 7.840
Ac 0.161 5.521 2.613
C -3.779 6.191 2.613
C 6.038 -0.107 7.840
```

Space group = P2_1/m

Let's list calculated formation energy in order: -0.27; -0.39; -0.15; -0.45; 0.05; -0.03; 0.41; -0.15 eV per atom.
Let's list ρ in order: 9.30; 8.25; 12.86; 8.81; 8.51; 7.92; 8.97; 7.70 Mg/m³.